[1]
First-principles (GGA-PBEsol) data for an optimized crystal structure of Li2Ta4O11, as listed in the Alexandria database.

Cell lengths 6.2097, 6.2097, 12.7271 Å; angles 75.88, 75.88, 60.00 degrees
Fractional coordinates of all 34 atoms:
O (0.4066, 0.4066, 0.7802)
O (0.7398, 0.2566, 0.0930)
O (0.7566, 0.2398, 0.5930)
O (0.2398, 0.4106, 0.5930)
O (0.5934, 0.5934, 0.2198)
O (0.4953, 0.0047, 0.2500)
O (0.9106, 0.7398, 0.0930)
O (0.2566, 0.9106, 0.0930)
O (0.2500, 0.4953, 0.2500)
O (0.7434, 0.0894, 0.9070)
O (0.9953, 0.7500, 0.7500)
O (0.0894, 0.2602, 0.9070)
O (0.0934, 0.0934, 0.7198)
O (0.4106, 0.7566, 0.5930)
O (0.9066, 0.9066, 0.2802)
O (0.7602, 0.5894, 0.4070)
O (0.2434, 0.7602, 0.4070)
O (0.2602, 0.7434, 0.9070)
O (0.5047, 0.9953, 0.7500)
O (0.0047, 0.2500, 0.2500)
O (0.7500, 0.5047, 0.7500)
O (0.5894, 0.2434, 0.4070)
Ta (0.5000, 0.5000, 0.5000)
Ta (0.3895, 0.7500, 0.7500)
Ta (0.0000, 0.0000, 0.0000)
Ta (0.7500, 0.1105, 0.7500)
Ta (0.8895, 0.6105, 0.2500)
Ta (0.6105, 0.2500, 0.2500)
Ta (0.1105, 0.3895, 0.7500)
Ta (0.2500, 0.8895, 0.2500)
Li (0.3524, 0.3524, 0.9428)
Li (0.1476, 0.1476, 0.5572)
Li (0.6476, 0.6476, 0.0572)
Li (0.8524, 0.8524, 0.4428)

Computed properties:
Formation energy (no corrections) = -266 kJ/mol of atoms
Space group = No. 167

=====

[2]
First-principles (GGA-PBEsol) data for an optimized crystal structure of BaPPb2, as listed in the Alexandria database.

Cell lengths 4.5340, 4.5340, 6.4832 Å; angles 110.47, 110.47, 90.00 degrees
Fractional coordinates of all 4 atoms:
Pb (0.2500, 0.7500, 0.5000)
Pb (0.7500, 0.2500, 0.5000)
Ba (0.5000, 0.5000, 0.0000)
P (0.0000, 0.0000, 0.0000)

Computed properties:
Energy of formation from the pure elements = -0.215 eV per atom
Space group = No. 139

=====

[3]
First-principles (GGA-PBEsol) data for an optimized crystal structure of Ba2HAu, as listed in the Alexandria database.

Cell lengths 5.4043, 5.4043, 5.4043 Å; angles 60.00, 60.00, 60.00 degrees
Fractional coordinates of all 4 atoms:
Ba (0.2500, 0.2500, 0.2500)
Ba (0.7500, 0.7500, 0.7500)
H (0.0000, 0.0000, 0.0000)
Au (0.5000, 0.5000, 0.5000)

Computed properties:
Space group = No. 225

=====

no.,E (eV per atom)
1,-9.338
2,-4.199
3,-3.165